Entry 1:
Entry from the Open Quantum Materials Database: an optimized crystal structure of LuGaFeAu (PBE).

The space group is F-43m. As for the excess energy over the best structure of this formula in the dataset: 0 meV per atom.

Geometry as POSCAR:
```
LuGaFeAu
1.0
0.0000 3.3013 3.3013
3.3013 0.0000 3.3013
3.3013 3.3013 0.0000
Lu Ga Fe Au
1 1 1 1
Cartesian
0.0000 0.0000 0.0000 Lu
1.6506 1.6506 1.6506 Ga
3.3013 3.3013 3.3013 Fe
4.9519 4.9519 4.9519 Au
```



Entry 2:
Entry from the Open Quantum Materials Database: an optimized crystal structure of DyAgSnS3 (PBE).

The space group is Pnma. As for the excess energy over the best structure of this formula in the dataset: 3 meV per atom.

Geometry as POSCAR:
```
DyAgSnS3
1.0
8.4798 0.0000 0.0000
0.0000 4.0118 0.0000
0.0000 0.0000 16.6459
Dy Ag Sn S
4 4 4 12
Cartesian
1.5502 1.0029 0.9992 Dy
2.6897 3.0088 9.3222 Dy
5.7900 1.0029 7.3237 Dy
6.9296 3.0088 15.6466 Dy
0.8031 1.0029 6.5066 Ag
3.4368 3.0088 14.8295 Ag
5.0430 1.0029 1.8164 Ag
7.6767 3.0088 10.1393 Ag
1.3861 1.0029 12.6610 Sn
2.8538 3.0088 4.3381 Sn
5.6260 1.0029 12.3078 Sn
7.0937 3.0088 3.9849 Sn
0.8445 1.0029 10.0683 S
1.0870 1.0029 3.7103 S
1.1635 3.0088 15.8169 S
3.0764 1.0029 7.4940 S
3.1528 3.0088 12.0332 S
3.3953 3.0088 1.7454 S
5.0844 1.0029 14.9005 S
5.3269 1.0029 4.6126 S
5.4034 3.0088 9.1519 S
7.3162 1.0029 0.8290 S
7.3927 3.0088 12.9356 S
7.6352 3.0088 6.5775 S
```



Entry 3:
Entry from the Open Quantum Materials Database: an optimized crystal structure of Rb2PdCl2F2 (PBE).

Its total energy is -26.8 eV for the cell shown. The space group is Pmm2.

Geometry as POSCAR:
```
Rb2PdCl2F2
1.0
3.8771 0.0000 0.0000
0.0000 6.6698 0.0000
0.0000 0.0000 6.6942
Rb Pd Cl F
2 1 2 2
Cartesian
0.0000 0.0000 0.0000 Rb
0.0000 3.3349 2.5051 Rb
1.9385 0.0000 3.0477 Pd
1.9385 1.6397 4.6275 Cl
1.9385 5.0301 4.6275 Cl
1.9385 1.4256 1.5764 F
1.9385 5.2443 1.5764 F
```



Entry 4:
Entry from the Open Quantum Materials Database: an optimized crystal structure of ZrInMo2 (PBE).

Its total energy is -32.3 eV for the cell shown. The space group is F-43m.

Geometry as POSCAR:
```
ZrInMo2
1.0
0.0000 3.3304 3.3304
3.3304 0.0000 3.3304
3.3304 3.3304 0.0000
Zr In Mo
1 1 2
Cartesian
0.0000 0.0000 0.0000 Zr
4.9956 4.9956 4.9956 In
1.6652 1.6652 1.6652 Mo
3.3304 3.3304 3.3304 Mo
```



Entry 5:
Entry from the Open Quantum Materials Database: an optimized crystal structure of NaCuNi (PBE).

The space group is F-43m. As for the excess energy over the best structure of this formula in the dataset: 0 meV per atom.

Geometry as POSCAR:
```
NaCuNi
1.0
0.0000 2.9602 2.9602
2.9602 0.0000 2.9602
2.9602 2.9602 0.0000
Na Cu Ni
1 1 1
Cartesian
0.0000 0.0000 0.0000 Na
1.4801 1.4801 1.4801 Cu
2.9602 2.9602 2.9602 Ni
```



Entry 6:
Entry from the Open Quantum Materials Database: an optimized crystal structure of LuHfCoB (PBE).

The space group is F-43m. As for the excess energy over the best structure of this formula in the dataset: 0 meV per atom.

Geometry as POSCAR:
```
LuHfCoB
1.0
0.0000 3.0881 3.0881
3.0881 0.0000 3.0881
3.0881 3.0881 0.0000
Lu Hf Co B
1 1 1 1
Cartesian
0.0000 0.0000 0.0000 Lu
4.6321 4.6321 4.6321 Hf
3.0881 3.0881 3.0881 Co
1.5440 1.5440 1.5440 B
```



Entry 7:
Entry from the Open Quantum Materials Database: an optimized crystal structure of LaHoAs2Pt2 (PBE).

The space group is P6_3/mmc. As for the excess energy over the best structure of this formula in the dataset: 0 meV per atom.

Geometry as POSCAR:
```
LaHoAs2Pt2
1.0
4.3372 0.0000 0.0000
-2.1686 3.7561 0.0000
0.0000 0.0000 15.6391
La Ho As Pt
2 2 4 4
Cartesian
0.0000 0.0000 0.0000 La
0.0000 0.0000 7.8195 La
0.0000 0.0000 3.9098 Ho
0.0000 0.0000 11.7293 Ho
0.0000 2.5041 1.9016 As
0.0000 2.5041 5.9179 As
2.1686 1.2520 9.7212 As
2.1686 1.2520 13.7374 As
0.0000 2.5041 10.0814 Pt
0.0000 2.5041 13.3773 Pt
2.1686 1.2520 2.2618 Pt
2.1686 1.2520 5.5577 Pt
```



Entry 8:
Entry from the Open Quantum Materials Database: an optimized crystal structure of LiCuPtW (PBE).

The space group is F-43m. As for the excess energy over the best structure of this formula in the dataset: 260 meV per atom.

Geometry as POSCAR:
```
LiCuPtW
1.0
0.0000 2.9755 2.9755
2.9755 0.0000 2.9755
2.9755 2.9755 0.0000
Li Cu Pt W
1 1 1 1
Cartesian
0.0000 0.0000 0.0000 Li
2.9755 2.9755 2.9755 Cu
4.4632 4.4632 4.4632 Pt
1.4877 1.4877 1.4877 W
```



Entry 9:
Entry from the Open Quantum Materials Database: an optimized crystal structure of YEr2Tm3AgTe2 (PBE).

Its total energy is -43.8 eV for the cell shown. The space group is Amm2.

Geometry as POSCAR:
```
YEr2Tm3AgTe2
1.0
3.9498 0.0000 0.0000
0.0000 7.2490 4.1986
0.0000 -7.2490 4.1986
Y Er Tm Ag Te
1 2 3 1 2
Cartesian
0.0000 0.0000 0.0000 Y
0.0000 -2.9136 5.0691 Er
0.0000 2.9136 5.0691 Er
1.9749 -1.8460 2.3198 Tm
1.9749 1.8460 2.3198 Tm
1.9749 0.0000 5.5046 Tm
0.0000 0.0000 3.3899 Ag
1.9749 -4.8308 3.3807 Te
1.9749 4.8308 3.3807 Te
```



Entry 10:
Entry from the Open Quantum Materials Database: an optimized crystal structure of SrCo2Sn4 (PBE).

Its total energy is -30.5 eV for the cell shown. The space group is I4/mmm.

Geometry as POSCAR:
```
SrCo2Sn4
1.0
-3.6340 3.6340 2.8680
3.6340 -3.6340 2.8680
3.6340 3.6340 -2.8680
Sr Co Sn
1 2 4
Cartesian
0.0000 0.0000 0.0000 Sr
3.6340 0.0000 1.4340 Co
0.0000 3.6340 1.4340 Co
2.1592 2.1592 0.0000 Sn
1.4749 -1.4749 2.8680 Sn
-1.4749 1.4749 2.8680 Sn
1.4749 1.4749 2.8680 Sn
```



Entry 11:
Entry from the Open Quantum Materials Database: an optimized crystal structure of RbEr2Cu3TeS4 (PBE).

Its total energy is -106.3 eV for the cell shown. The space group is Cmcm.

Geometry as POSCAR:
```
RbEr2Cu3TeS4
1.0
2.0075 -6.9934 0.0000
2.0075 6.9934 0.0000
0.0000 0.0000 17.0325
Rb Er Cu Te S
2 4 6 2 8
Cartesian
2.0075 6.3346 12.7744 Rb
2.0075 -6.3346 4.2581 Rb
2.0075 4.3686 1.4459 Er
2.0075 4.3686 7.0704 Er
2.0075 -4.3686 9.9621 Er
2.0075 -4.3686 15.5867 Er
2.0075 2.0309 12.7744 Cu
2.0075 1.1812 0.6559 Cu
2.0075 1.1812 7.8604 Cu
2.0075 -1.1812 9.1722 Cu
2.0075 -1.1812 16.3766 Cu
2.0075 -2.0309 4.2581 Cu
2.0075 3.4483 4.2581 Te
2.0075 -3.4483 12.7744 Te
2.0075 4.6302 9.6978 S
2.0075 4.6302 15.8510 S
2.0075 0.8638 10.3816 S
2.0075 0.8638 15.1672 S
2.0075 -0.8638 1.8653 S
2.0075 -0.8638 6.6509 S
2.0075 -4.6302 1.1815 S
2.0075 -4.6302 7.3347 S
```



Entry 12:
Entry from the Open Quantum Materials Database: an optimized crystal structure of Zr2InN (PBE).

Its total energy is -64.9 eV for the cell shown. The space group is P6_3/mmc.

Geometry as POSCAR:
```
Zr2InN
1.0
3.3003 0.0000 0.0000
-1.6501 2.8581 0.0000
0.0000 0.0000 14.9460
Zr In N
4 2 2
Cartesian
0.0000 1.9054 1.2561 Zr
0.0000 1.9054 6.2169 Zr
1.6501 0.9527 8.7291 Zr
1.6501 0.9527 13.6899 Zr
0.0000 1.9054 11.2095 In
1.6501 0.9527 3.7365 In
0.0000 0.0000 0.0000 N
0.0000 0.0000 7.4730 N
```



Entry 13:
Entry from the Open Quantum Materials Database: an optimized crystal structure of Tb5CuBi3 (PBE).

Its total energy is -90.0 eV for the cell shown. The space group is P6_3/mcm.

Geometry as POSCAR:
```
Tb5CuBi3
1.0
9.3513 0.0000 0.0000
-4.6756 8.0984 0.0000
0.0000 0.0000 6.4300
Tb Cu Bi
10 2 6
Cartesian
-1.1968 2.0728 1.6075 Tb
-3.4789 6.0256 4.8225 Tb
2.3935 0.0000 1.6075 Tb
1.1968 2.0728 4.8225 Tb
0.0000 5.3990 0.0000 Tb
0.0000 5.3990 3.2150 Tb
4.6756 2.6995 0.0000 Tb
4.6756 2.6995 3.2150 Tb
6.9578 0.0000 4.8225 Tb
3.4789 6.0256 1.6075 Tb
0.0000 0.0000 0.0000 Cu
0.0000 0.0000 3.2150 Cu
-1.8034 3.1236 4.8225 Bi
-2.8722 4.9748 1.6075 Bi
3.6068 0.0000 4.8225 Bi
1.8034 3.1236 1.6075 Bi
5.7444 0.0000 1.6075 Bi
2.8722 4.9748 4.8225 Bi
```